TaAgPb (GGA-PBEsol, optimized geometry); electronic total energy = -16.5 eV for the cell shown; formation energy = 1.11 eV per atom; density of states at the Fermi level = 1.05 states/eV per atom; M_tot = 0.01 μB per cell
1.0
4.583 0.000 0.000
2.292 3.969 0.000
2.292 1.323 3.742
Pb Ta Ag
1 1 1
Direct
0.250 0.250 0.250
0.000 0.000 0.000
0.500 0.500 0.500